This record from Alexandria describes an optimized crystal structure of V5Mo6W4. The functional is GGA-PBE.

Output
Formation energy in eV/atom: -0.103

Cell lengths 4.421, 15.584, 13.189 Å; angles 90.00, 90.00, 90.00 degrees
Space group Cmc2_1 (No. 36)
Symmetry-distinct sites (fractional):
1 V 0.000 0.049 0.000 x4
2 V 0.000 0.150 0.498 x4
3 V 0.000 0.151 0.833 x4
4 V 0.000 0.249 0.333 x4
5 V 0.000 0.348 0.834 x4
6 Mo 0.000 0.050 0.666 x4
7 Mo 0.000 0.051 0.335 x4
8 Mo 0.000 0.151 0.168 x4
9 Mo 0.000 0.250 0.669 x4
10 Mo 0.000 0.250 0.996 x4
11 Mo 0.000 0.449 0.334 x4
12 W 0.000 0.349 0.167 x4
13 W 0.000 0.349 0.497 x4
14 W 0.000 0.450 0.666 x4
15 W 0.000 0.450 0.999 x4


This record from Alexandria describes an optimized crystal structure of NaBiTe2O6. The functional is GGA-PBE.

Output
Raw formation energy in eV per atom: -1.185

Cell lengths 9.508, 11.493, 6.275 Å; angles 90.00, 101.89, 90.00 degrees
Space group C2/c (No. 15)
Symmetry-distinct sites (fractional):
1 Na 0.000 0.244 0.250 x4
2 Bi 0.000 0.403 0.750 x4
3 Te 0.171 0.117 0.718 x8
4 O 0.082 0.119 0.961 x8
5 O 0.129 0.402 0.117 x8
6 O 0.160 0.282 0.653 x8


This record from Alexandria describes an optimized crystal structure of LiAc2YTe5. The functional is GGA-PBE.

Output
Raw formation energy in eV per atom: -1.455

Cell lengths 4.583, 19.303, 13.492 Å; angles 90.00, 90.00, 90.00 degrees
Space group Cmc2_1 (No. 36)
Symmetry-distinct sites (fractional):
1 Li 0.000 0.060 0.000 x4
2 Ac 0.000 0.374 0.843 x4
3 Ac 0.000 0.393 0.224 x4
4 Y 0.000 0.303 0.548 x4
5 Te 0.000 0.001 0.320 x4
6 Te 0.000 0.142 0.538 x4
7 Te 0.000 0.191 0.890 x4
8 Te 0.000 0.215 0.202 x4
9 Te 0.000 0.451 0.602 x4


This record from Alexandria describes an optimized crystal structure of Te2PdBr6. The functional is GGA-PBE.

Output
Raw formation energy in eV per atom: -0.354

Cell lengths 17.001, 9.461, 19.906 Å; angles 90.00, 116.93, 90.00 degrees
Space group P2_1/c (No. 14)
Symmetry-distinct sites (fractional):
1 Te 0.020 0.148 0.140 x4
2 Te 0.164 0.701 0.550 x4
3 Te 0.366 0.136 0.358 x4
4 Te 0.397 0.218 0.550 x4
5 Pd 0.001 0.161 0.005 x4
6 Pd 0.496 0.161 0.489 x4
7 Br 0.014 0.166 0.884 x4
8 Br 0.058 0.090 0.675 x4
9 Br 0.137 0.668 0.373 x4
10 Br 0.160 0.534 0.024 x4
11 Br 0.167 0.124 0.091 x4
12 Br 0.227 0.168 0.378 x4
13 Br 0.231 0.733 0.692 x4
14 Br 0.358 0.673 0.896 x4
15 Br 0.364 0.110 0.813 x4
16 Br 0.369 0.021 0.014 x4
17 Br 0.439 0.604 0.102 x4
18 Br 0.491 0.231 0.189 x4


This record from Alexandria describes an optimized crystal structure of HfMn2PtN. The functional is GGA-PBE.

Output
Raw formation energy in eV per atom: -0.709

Cell lengths 3.989, 3.989, 4.318 Å; angles 90.00, 90.00, 90.00 degrees
Space group P4/mmm (No. 123)
Symmetry-distinct sites (fractional):
1 Hf 0.000 0.000 0.000 x1
2 Mn 0.000 0.500 0.500 x2
3 Pt 0.500 0.500 0.000 x1
4 N 0.000 0.000 0.500 x1


This record from Alexandria describes an optimized crystal structure of CdTe3. The functional is GGA-PBE.

Output
Raw formation energy in eV per atom: -0.100

Cell lengths 4.457, 4.457, 12.354 Å; angles 90.00, 90.00, 90.00 degrees
Space group I4/mmm (No. 139)
Symmetry-distinct sites (fractional):
1 Cd 0.000 0.000 0.000 x2
2 Te 0.000 0.000 0.248 x4
3 Te 0.000 0.000 0.500 x2


This record from Alexandria describes an optimized crystal structure of Tl6Hg7Au. The functional is GGA-PBE.

Output
Formation energy in eV/atom: 0.034

Cell lengths 6.527, 20.193, 12.516 Å; angles 90.00, 90.00, 90.00 degrees
Space group Ibam (No. 72)
Symmetry-distinct sites (fractional):
1 Tl 0.148 0.097 0.000 x8
2 Tl 0.243 0.371 0.233 x16
3 Hg 0.000 0.000 0.250 x4
4 Hg 0.013 0.251 0.382 x16
5 Hg 0.156 0.439 0.000 x8
6 Au 0.000 0.500 0.250 x4


This record from Alexandria describes an optimized crystal structure of YMn2Cd. The functional is GGA-PBE.

Output
Formation energy in eV/atom: 0.280

Cell lengths 6.803, 6.803, 6.803 Å; angles 90.00, 90.00, 90.00 degrees
Space group Fm-3m (No. 225)
Symmetry-distinct sites (fractional):
1 Y 0.000 0.000 0.000 x4
2 Mn 0.250 0.250 0.250 x8
3 Cd 0.000 0.000 0.500 x4